P.
# Co2AsF

A relaxed Co2AsF crystal (PBE+U, the Alexandria database).

Structure (CIF):
```
data_Co2AsF
_chemical_formula_sum 'Co8 As4 F4'
_symmetry_space_group_name_H-M 'F m -3 m'
_symmetry_Int_Tables_number 225
_symmetry_space_group_name_Hall '-F 4 2 3'
_cell_length_a 5.7144
_cell_length_b 5.7144
_cell_length_c 5.7144
_cell_angle_alpha 90.00
_cell_angle_beta 90.00
_cell_angle_gamma 90.00
loop_
_atom_site_label
_atom_site_type_symbol
_atom_site_fract_x
_atom_site_fract_y
_atom_site_fract_z
Co1 Co 0.2500 0.2500 0.2500
As1 As 0.0000 0.0000 0.0000
F1 F 0.0000 0.0000 0.5000
```



Q.
# Co2AsF

A relaxed Co2AsF crystal (PBE+U, the Alexandria database).

Structure (CIF):
```
data_Co2AsF
_chemical_formula_sum 'Co8 As4 F4'
_symmetry_space_group_name_H-M 'I -4 2 d'
_symmetry_Int_Tables_number 122
_symmetry_space_group_name_Hall 'I -4 2bw'
_cell_length_a 6.0378
_cell_length_b 6.0378
_cell_length_c 6.5149
_cell_angle_alpha 90.00
_cell_angle_beta 90.00
_cell_angle_gamma 90.00
loop_
_atom_site_label
_atom_site_type_symbol
_atom_site_fract_x
_atom_site_fract_y
_atom_site_fract_z
Co1 Co 0.2068 0.2500 0.1250
As1 As 0.0000 0.0000 0.5000
F1 F 0.0000 0.0000 0.0000
```



Relative energies in eV/atom: P 0.484; Q 0.000